Entry 1:
The following is a GGA-PBE calculation of BaPm2Ni after structural relaxation, from Alexandria.

Cell lengths 3.608, 3.608, 9.892 Å; angles 90.00, 90.00, 90.00 degrees
Fractional positions:
Ni 0.500 0.500 0.000
Ba 0.500 0.500 0.500
Pm 0.000 0.000 0.839
Pm 0.000 0.000 0.161

For the volume, the calculation gives 32.19 Å³ per atom. The energy above the most stable polymorph in this dataset comes out at 0.0000 eV/atom. The space group is P4/mmm.

***

Entry 2:
The following is a GGA-PBE calculation of BaPmNi4 after structural relaxation, from Alexandria.

Cell lengths 5.270, 5.270, 5.270 Å; angles 60.00, 60.00, 60.00 degrees
Fractional positions:
Pm 0.000 0.000 0.000
Ni 0.627 0.627 0.120
Ni 0.627 0.120 0.627
Ni 0.627 0.627 0.627
Ni 0.120 0.627 0.627
Ba 0.250 0.250 0.250

For the volume, the calculation gives 17.24 Å³ per atom. The electronic total energy comes out at -4.9998 eV per atom. The space group is F-43m.

***

Entry 3:
The following is a GGA-PBE calculation of BaPm3Ni after structural relaxation, from Alexandria.

Cell lengths 5.621, 5.621, 5.621 Å; angles 90.00, 90.00, 90.00 degrees
Fractional positions:
Pm 0.500 0.000 0.000
Pm 0.000 0.000 0.500
Pm 0.000 0.500 0.000
Ba 0.500 0.500 0.500
Ni 0.000 0.000 0.000

For the volume, the calculation gives 35.52 Å³ per atom. The electronic total energy comes out at -4.3675 eV per atom. The space group is Pm-3m.

***

Entry 4:
The following is a GGA-PBE calculation of BaPrNi4 after structural relaxation, from Alexandria.

Cell lengths 5.296, 5.296, 5.296 Å; angles 60.00, 60.00, 60.00 degrees
Fractional positions:
Ni 0.624 0.624 0.624
Ni 0.624 0.129 0.624
Ni 0.624 0.624 0.129
Ni 0.129 0.624 0.624
Pr 0.250 0.250 0.250
Ba 0.000 0.000 0.000

For the volume, the calculation gives 17.50 Å³ per atom. The electronic total energy comes out at -4.9878 eV per atom. The space group is F-43m.

***

What total magnetic moment values result from the calculations? In sequence: 0.00, 0.00, 0.07, 0.00 μB per cell.